Below is crystalline SnTePtN2 at its relaxed geometry, with properties calculated at the PBE-GGA level.

Computed properties:
energy above the lowest structure with this stoichiometry = 0.0 meV per atom
volume = 19.76 Å³/atom
SG = No. 123

Geometry as POSCAR:
```
SnTePtN2
1.0
3.960 0.000 0.000
0.000 6.300 0.000
0.000 0.000 3.960
Sn N Pt Te
1 2 1 1
Cartesian
0.000 3.150 0.000 Sn
0.000 0.000 1.980 N
1.980 0.000 0.000 N
0.000 0.000 0.000 Pt
1.980 3.150 1.980 Te
```


Below is crystalline SnTePtN2 at its relaxed geometry, with properties calculated at the PBE-GGA level.

Computed properties:
energy above the lowest structure with this stoichiometry = 271.6 meV per atom
volume = 20.95 Å³/atom
SG = No. 123

Geometry as POSCAR:
```
SnTePtN2
1.0
4.040 0.000 0.000
0.000 4.040 0.000
0.000 0.000 6.418
Sn Te N Pt
1 1 2 1
Cartesian
0.000 0.000 0.000 Sn
0.000 0.000 3.209 Te
2.020 0.000 0.000 N
0.000 2.020 0.000 N
2.020 2.020 3.209 Pt
```


Below is crystalline SnTe2PtN at its relaxed geometry, with properties calculated at the PBE-GGA level.

Computed properties:
energy above the lowest structure with this stoichiometry = 0.0 meV per atom
volume = 24.27 Å³/atom
SG = No. 123

Geometry as POSCAR:
```
SnTe2PtN
1.0
-2.222 4.700 -2.374
2.351 -1.419 -5.012
-3.063 -1.902 -0.898
N Te Sn Pt
1 2 1 1
Cartesian
-1.531 -0.951 -0.449 N
-1.111 2.350 -1.187 Te
1.176 -0.710 -2.506 Te
-1.467 0.690 -4.142 Sn
0.000 0.000 0.000 Pt
```


Below is crystalline ThSnPtN at its relaxed geometry, with properties calculated at the PBE-GGA level.

Computed properties:
final energy = -7.4691 eV/atom
volume = 20.37 Å³/atom
SG = No. 129

Geometry as POSCAR:
```
ThSnPtN
1.0
4.423 0.000 0.000
0.000 4.423 0.000
0.000 0.000 8.330
N Pt Sn Th
2 2 2 2
Cartesian
0.000 0.000 0.000 N
2.212 2.212 0.000 N
2.212 0.000 5.653 Pt
0.000 2.212 2.677 Pt
0.000 0.000 4.165 Sn
2.212 2.212 4.165 Sn
2.212 0.000 0.988 Th
0.000 2.212 7.342 Th
```